Here is a geometry-optimized Te2Pt structure from Alexandria via LeMat-Bulk. Energies are from PBE.

abc: 13.5885 13.5885 13.5885
angles: 166.67 163.50 21.27
With the nearest neighbours (Å) after each atom.
Sites, in units of the cell vectors:
Te1 0.9274 0.1774 0.7500  4 Pt 2.74
Te2 0.0726 0.8226 0.2500  4 Pt 2.74
Te3 0.2063 0.9563 0.2500  4 Te 3.04-3.16
Te4 0.7937 0.0437 0.7500  4 Te 3.04-3.16
Pt1 0.3866 0.6366 0.7500  4 Te 2.74
Pt2 0.6134 0.3634 0.2500  4 Te 2.74

ΔE_f (raw), meV per atom: 104.9
Theoretical density, g cm⁻³: 9.10